# BaMgPb2 | Alexandria | meta-GGA SCAN | PBEsol geometry
data_BaMgPb2
_cell_length_a 4.6413
_cell_length_b 5.2468
_cell_length_c 6.3849
_cell_angle_alpha 107.02
_cell_angle_beta 90.00
_cell_angle_gamma 116.25
_space_group_name_H-M_alt 'P 1'
_space_group_IT_number 1
loop_
_space_group_symop_operation_xyz
'x,y,z'
loop_
_atom_site_label
_atom_site_fract_x
_atom_site_fract_y
_atom_site_fract_z
Mg1 0.5000 0.0000 0.0000
Pb1 0.2386 0.4773 0.1671
Pb2 0.7614 0.5227 0.8329
Ba1 0.0000 0.0000 0.5000
# Energy of formation in eV per atom: -0.5224


# BaMgPb | Alexandria | meta-GGA SCAN | PBEsol geometry
data_BaMgPb
_cell_length_a 4.9463
_cell_length_b 4.9463
_cell_length_c 8.1434
_cell_angle_alpha 90.00
_cell_angle_beta 90.00
_cell_angle_gamma 90.00
_space_group_name_H-M_alt 'P 1'
_space_group_IT_number 1
loop_
_space_group_symop_operation_xyz
'x,y,z'
loop_
_atom_site_label
_atom_site_fract_x
_atom_site_fract_y
_atom_site_fract_z
Mg1 0.5000 0.5000 0.0000
Pb1 0.5000 0.0000 0.7816
Ba1 0.5000 0.0000 0.3298
Pb2 0.0000 0.5000 0.2184
Mg2 0.0000 0.0000 0.0000
Ba2 0.0000 0.5000 0.6702
# Energy of formation in eV per atom: -0.6891


# BaMg2Pb2 | Alexandria | meta-GGA SCAN | PBEsol geometry
data_BaMg2Pb2
_cell_length_a 4.9335
_cell_length_b 4.9335
_cell_length_c 12.2799
_cell_angle_alpha 90.00
_cell_angle_beta 90.00
_cell_angle_gamma 90.00
_space_group_name_H-M_alt 'P 1'
_space_group_IT_number 1
loop_
_space_group_symop_operation_xyz
'x,y,z'
loop_
_atom_site_label
_atom_site_fract_x
_atom_site_fract_y
_atom_site_fract_z
Ba1 0.0000 0.5000 0.7504
Mg1 0.0000 0.5000 0.3641
Pb1 0.0000 0.5000 0.1344
Ba2 0.5000 0.0000 0.2496
Mg2 0.0000 0.0000 0.0000
Mg3 0.5000 0.5000 0.0000
Mg4 0.5000 0.0000 0.6359
Pb2 0.5000 0.0000 0.8656
Pb3 0.0000 0.0000 0.5000
Pb4 0.5000 0.5000 0.5000
# Energy of formation in eV per atom: -0.5735


# BaMg2Pb2 | Alexandria | meta-GGA SCAN | PBEsol geometry
data_BaMg2Pb2
_cell_length_a 4.8658
_cell_length_b 4.8658
_cell_length_c 7.2993
_cell_angle_alpha 109.47
_cell_angle_beta 109.47
_cell_angle_gamma 90.00
_space_group_name_H-M_alt 'P 1'
_space_group_IT_number 1
loop_
_space_group_symop_operation_xyz
'x,y,z'
loop_
_atom_site_label
_atom_site_fract_x
_atom_site_fract_y
_atom_site_fract_z
Mg1 0.7500 0.2500 0.5000
Pb1 0.6189 0.6189 0.2378
Ba1 0.0000 0.0000 0.0000
Mg2 0.2500 0.7500 0.5000
Pb2 0.3811 0.3811 0.7622
# Energy of formation in eV per atom: -0.5664


The highest energy of formation belongs to which entry? BaMgPb2


Which of these has the lowest energy of formation? BaMgPb


Which value of energy of formation does entry 4 give? -0.5664 eV per atom